[1]
Entry from Alexandria: a relaxed structure of Nb2Ga2Co (PBE).

a b c (Å): 6.2383 6.2383 4.0178
angles (deg): 90.00 90.00 90.00
Closest atoms and distances in Å follow each position.
Fractional coordinates of all 10 atoms:
Nb 0.1647 0.3353 0.0000  6 Ga 2.63-2.78, 1 Nb 2.91
Nb 0.3353 0.8353 0.0000  6 Ga 2.63-2.78, 1 Nb 2.91
Nb 0.6647 0.1647 0.0000  6 Ga 2.63-2.78, 1 Nb 2.91
Nb 0.8353 0.6647 0.0000  6 Ga 2.63-2.78, 1 Nb 2.91
Ga 0.1424 0.6424 0.5000  2 Co 2.40, 1 Ga 2.51, 2 Nb 2.63
Ga 0.3576 0.1424 0.5000  2 Co 2.40, 1 Ga 2.51, 2 Nb 2.63
Ga 0.6424 0.8576 0.5000  2 Co 2.40, 1 Ga 2.51, 2 Nb 2.63
Ga 0.8576 0.3576 0.5000  2 Co 2.40, 1 Ga 2.51, 2 Nb 2.63
Co 0.0000 0.0000 0.5000  4 Ga 2.40
Co 0.5000 0.5000 0.5000  4 Ga 2.40

---

[2]
Entry from Alexandria: a relaxed structure of Nb3Ga4Co (PBE).

a b c (Å): 8.8284 5.5039 5.2083
angles (deg): 90.00 90.00 90.00
Closest atoms and distances in Å follow each position.
Fractional coordinates of all 16 atoms:
Nb 0.0000 0.1476 0.0000  8 Ga 2.71-2.88, 1 Co 2.71, 2 Nb 3.01
Nb 0.2169 0.6286 0.7209  1 Co 2.52, 4 Ga 2.75-2.82
Nb 0.2831 0.3714 0.2209  1 Co 2.52, 4 Ga 2.75-2.82
Nb 0.5000 0.8524 0.5000  8 Ga 2.71-2.88, 1 Co 2.71, 2 Nb 3.01
Nb 0.7169 0.3714 0.2209  1 Co 2.52, 4 Ga 2.75-2.82
Nb 0.7831 0.6286 0.7209  1 Co 2.52, 4 Ga 2.75-2.82
Ga 0.0000 0.3329 0.4965  1 Co 2.49, 1 Ga 2.62, 3 Nb 2.77-2.78
Ga 0.0000 0.6336 0.1075  3 Ga 2.57-2.62, 1 Co 2.73, 3 Nb 2.73-2.78
Ga 0.2368 0.8784 0.2348  2 Ga 2.57-2.88, 2 Co 2.69-2.82, 4 Nb 2.71-2.84
Ga 0.2632 0.1216 0.7348  2 Ga 2.57-2.88, 2 Co 2.69-2.82, 4 Nb 2.71-2.84
Ga 0.5000 0.3664 0.6075  3 Ga 2.57-2.62, 1 Co 2.73, 3 Nb 2.73-2.78
Ga 0.5000 0.6671 0.9965  1 Co 2.49, 1 Ga 2.62, 3 Nb 2.77-2.78
Ga 0.7368 0.1216 0.7348  2 Ga 2.57-2.88, 2 Co 2.69-2.82, 4 Nb 2.71-2.84
Ga 0.7632 0.8784 0.2348  2 Ga 2.57-2.88, 2 Co 2.69-2.82, 4 Nb 2.71-2.84
Co 0.0000 0.8847 0.5600  4 Ga 2.49-2.73, 3 Nb 2.52-2.71
Co 0.5000 0.1153 0.0600  4 Ga 2.49-2.73, 3 Nb 2.52-2.71

---

Summary of density in Mg/m³
8.16; 8.09
(order as listed above)
Summary of electronic total energy in eV/atom
-6.851; -6.403
(order as listed above)
Summary of density of states at the Fermi level in states/eV/cell
6.902; 10.047
(order as listed above)